Record 1
# Yb3PbC, optimized geometry, DFT PBE
data_Yb3PbC
_cell_length_a 5.011
_cell_length_b 5.011
_cell_length_c 5.011
_cell_angle_alpha 90.00
_cell_angle_beta 90.00
_cell_angle_gamma 90.00
_space_group_name_H-M_alt 'P m -3 m'
_space_group_IT_number 221
_space_group_name_Hall '-P 4 2 3'
loop_
_atom_site_label
_atom_site_type_symbol
_atom_site_fract_x
_atom_site_fract_y
_atom_site_fract_z
_atom_site_occupancy
Yb1 Yb 0.000 0.000 0.500 1
Pb1 Pb 0.500 0.500 0.500 1
C1 C 0.000 0.000 0.000 1
# - Total energy: -18.10 eV for the cell shown

Record 2
# Zn3PbC, optimized geometry, DFT PBE
data_Zn3PbC
_cell_length_a 5.429
_cell_length_b 5.429
_cell_length_c 5.429
_cell_angle_alpha 90.00
_cell_angle_beta 90.00
_cell_angle_gamma 90.00
_space_group_name_H-M_alt 'P m -3 m'
_space_group_IT_number 221
_space_group_name_Hall '-P 4 2 3'
loop_
_atom_site_label
_atom_site_type_symbol
_atom_site_fract_x
_atom_site_fract_y
_atom_site_fract_z
_atom_site_occupancy
Zn1 Zn 0.000 0.000 0.500 1
Pb1 Pb 0.000 0.000 0.000 1
C1 C 0.500 0.500 0.500 1
# - Total energy: -7.70 eV for the cell shown

Record 3
# ZnPb2C, optimized geometry, DFT PBE
data_ZnPb2C
_cell_length_a 6.962
_cell_length_b 6.962
_cell_length_c 6.962
_cell_angle_alpha 90.00
_cell_angle_beta 90.00
_cell_angle_gamma 90.00
_space_group_name_H-M_alt 'F m -3 m'
_space_group_IT_number 225
_space_group_name_Hall '-F 4 2 3'
loop_
_atom_site_label
_atom_site_type_symbol
_atom_site_fract_x
_atom_site_fract_y
_atom_site_fract_z
_atom_site_occupancy
Zn1 Zn 0.000 0.000 0.000 1
Pb1 Pb 0.250 0.250 0.250 1
C1 C 0.000 0.000 0.500 1
# - Total energy: -50.92 eV for the cell shown

Record 4
# ZnPbC3, optimized geometry, DFT PBE
data_ZnPbC3
_cell_length_a 4.116
_cell_length_b 4.116
_cell_length_c 4.116
_cell_angle_alpha 90.00
_cell_angle_beta 90.00
_cell_angle_gamma 90.00
_space_group_name_H-M_alt 'P m -3 m'
_space_group_IT_number 221
_space_group_name_Hall '-P 4 2 3'
loop_
_atom_site_label
_atom_site_type_symbol
_atom_site_fract_x
_atom_site_fract_y
_atom_site_fract_z
_atom_site_occupancy
Zn1 Zn 0.000 0.000 0.000 1
Pb1 Pb 0.500 0.500 0.500 1
C1 C 0.000 0.000 0.500 1
# - Total energy: -19.30 eV for the cell shown